[1]
A plane-wave DFT calculation with PBE was carried out for a geometry-optimized Cu2Ag7 structure.

```
Cu2Ag7
1.0
-3.0040 -3.4188 4.3383
-0.5595 -4.8741 3.9324
4.3666 6.0125 4.7390
Ag Cu
7 2
direct
0.5068 0.5068 0.6826
0.4932 0.4932 0.3174
0.1621 0.1621 0.5498
0.5000 0.5000 0.0000
0.1767 0.1767 0.2148
0.8379 0.8379 0.4502
0.8233 0.8233 0.7852
0.1713 0.1713 0.9020
0.8287 0.8287 0.0980
```

Summary:
ΔH_f (0 K) ... 0.06 eV per atom
Uncorrected energy ... -2.965 eV/atom
Space group ... C2/m

[2]
A plane-wave DFT calculation with PBE was carried out for a geometry-optimized Cu7Ag2 structure.

```
Cu7Ag2
1.0
-6.7168 1.5126 1.0145
-6.1406 -3.0818 1.1083
-5.0078 -0.5300 4.8035
Cu Ag
7 2
direct
0.5000 0.5000 0.5000
0.0611 0.3840 0.7110
0.9389 0.6160 0.2890
0.2890 0.9389 0.6160
0.7110 0.0611 0.3840
0.6160 0.2890 0.9389
0.3840 0.7110 0.0611
0.8334 0.8334 0.8334
0.1666 0.1666 0.1666
```

Summary:
ΔH_f (0 K) ... 0.09 eV per atom
Uncorrected energy ... -3.433 eV/atom
Space group ... R-3

[3]
A plane-wave DFT calculation with PBE was carried out for a geometry-optimized CuAg2 structure.

```
CuAg2
1.0
11.0899 -4.5642 5.5015
7.8258 -7.4238 7.5979
-8.7532 4.8936 -8.5743
Cu Ag
3 6
direct
0.7745 0.7745 0.0000
0.0000 0.0000 0.0000
0.2255 0.2255 0.0000
0.6737 0.6737 0.0000
0.1135 0.1135 0.0000
0.3263 0.3263 0.0000
0.5535 0.5535 0.0000
0.8865 0.8865 0.0000
0.4465 0.4465 0.0000
```

Summary:
ΔH_f (0 K) ... 0.08 eV per atom
Uncorrected energy ... -3.044 eV/atom
Space group ... Immm

[4]
A plane-wave DFT calculation with PBE was carried out for a geometry-optimized Cu4Ag5 structure.

```
Cu4Ag5
1.0
-1.3124 0.1088 4.6607
0.0682 -3.3603 3.4871
7.7041 3.2121 -0.4321
Cu Ag
4 5
direct
0.3337 0.3337 0.9443
0.6663 0.6663 0.0557
0.3300 0.3300 0.6089
0.6700 0.6700 0.3911
0.6753 0.6753 0.7249
0.0049 0.0049 0.8384
0.0000 0.0000 0.5000
0.3247 0.3247 0.2751
0.9951 0.9951 0.1616
```

Summary:
ΔH_f (0 K) ... 0.10 eV per atom
Uncorrected energy ... -3.121 eV/atom
Space group ... C2/m

[5]
A plane-wave DFT calculation with PBE was carried out for a geometry-optimized Cu3Ag2 structure.

```
Cu3Ag2
1.0
2.7607 0.0000 0.0000
0.0000 3.6998 0.0000
0.0000 0.0000 13.9783
Ag Cu
4 6
direct
0.5000 0.5000 0.2658
0.5000 0.5000 0.8536
0.0000 0.0000 0.7342
0.0000 0.0000 0.1464
0.5000 0.5000 0.6318
0.0000 0.0000 0.9561
0.5000 0.5000 0.4557
0.5000 0.5000 0.0439
0.0000 0.0000 0.3682
0.0000 0.0000 0.5443
```

Summary:
ΔH_f (0 K) ... 0.08 eV per atom
Uncorrected energy ... -3.276 eV/atom
Space group ... Pmmn

[6]
A plane-wave DFT calculation with PBE was carried out for a geometry-optimized Cu5Ag3 structure.

```
Cu5Ag3
1.0
4.7373 0.0000 0.0000
0.0000 2.7567 0.0000
-1.6548 0.0000 8.7447
Cu Ag
5 3
direct
0.4943 0.5000 0.9850
0.2632 0.0000 0.7612
0.9948 0.0000 0.9817
0.5057 0.0000 0.5183
0.7410 0.5000 0.7557
0.7457 0.0000 0.2374
0.0042 0.5000 0.5156
0.2511 0.5000 0.2451
```

Summary:
ΔH_f (0 K) ... 0.10 eV per atom
Uncorrected energy ... -3.280 eV/atom
Space group ... Pm

[7]
A plane-wave DFT calculation with PBE was carried out for a geometry-optimized Cu3Ag4 structure.

```
Cu3Ag4
1.0
-3.2382 -15.1610 -3.2406
-1.6876 -15.7190 -0.9529
-4.4439 -15.1861 -0.6920
Cu Ag
3 4
direct
0.2925 0.2925 0.2925
0.7075 0.7075 0.7075
0.0000 0.0000 0.0000
0.1405 0.1405 0.1405
0.4210 0.4210 0.4210
0.5790 0.5790 0.5790
0.8595 0.8595 0.8595
```

Summary:
ΔH_f (0 K) ... 0.08 eV per atom
Uncorrected energy ... -3.124 eV/atom
Space group ... R-3m

[8]
A plane-wave DFT calculation with PBE was carried out for a geometry-optimized Cu3Ag7 structure.

```
Cu3Ag7
1.0
-0.0499 5.6979 -5.0318
-2.2900 6.4198 -3.3660
4.8877 2.3038 5.5744
Ag Cu
7 3
direct
0.8055 0.8055 0.4050
0.0008 0.0008 0.4864
0.4001 0.4001 0.1688
0.2000 0.2000 0.1052
0.4009 0.4009 0.7330
0.5958 0.5958 0.8045
0.1977 0.1977 0.5954
0.0101 0.0101 0.0173
0.7915 0.7915 0.8956
0.5976 0.5976 0.2887
```

Summary:
ΔH_f (0 K) ... 0.07 eV per atom
Uncorrected energy ... -3.022 eV/atom
Space group ... Cm

| no. | V (Å³ per cell) |
| --- | --- |
| 1 | 150.4 |
| 2 | 119.4 |
| 3 | 144.1 |
| 4 | 137.4 |
| 5 | 142.8 |
| 6 | 114.2 |
| 7 | 108.5 |
| 8 | 161.3 |